{
  "formula": "Pm4Nd15Tl",
  "functional": "PBE",
  "state": "relaxed",
  "crystal_system": "tetragonal",
  "formation_enthalpy_0k_mev_per_atom": -23,
  "energy_ev_per_atom": -4.668,
  "cell": [[5.134, 0.000, 0.000], [0.000, 5.134, 0.000], [0.000, 0.000, 26.049]],
  "species": ["Pm", "Pm", "Pm", "Pm", "Nd", "Nd", "Nd", "Nd", "Nd", "Nd", "Nd", "Nd", "Nd", "Nd", "Nd", "Nd", "Nd", "Nd", "Nd", "Tl"],
  "frac_coords": [[0.000, 0.000, 0.101], [0.000, 0.000, 0.303], [0.000, 0.000, 0.697], [0.000, 0.000, 0.899], [0.000, 0.500, 0.000], [0.000, 0.500, 0.202], [0.000, 0.500, 0.404], [0.000, 0.500, 0.596], [0.000, 0.500, 0.798], [0.500, 0.000, 0.000], [0.500, 0.000, 0.202], [0.500, 0.000, 0.404], [0.500, 0.000, 0.596], [0.500, 0.000, 0.798], [0.500, 0.500, 0.101], [0.500, 0.500, 0.304], [0.500, 0.500, 0.500], [0.500, 0.500, 0.696], [0.500, 0.500, 0.899], [0.000, 0.000, 0.500]]
}

***

{
  "formula": "Pm4Nd7Tl",
  "functional": "PBE",
  "state": "relaxed",
  "crystal_system": "monoclinic",
  "formation_enthalpy_0k_mev_per_atom": 130,
  "energy_ev_per_atom": -4.432,
  "cell": [[8.420, -3.041, 0.000], [8.420, 3.041, 0.000], [-4.368, 0.000, 8.367]],
  "species": ["Pm", "Pm", "Pm", "Pm", "Nd", "Nd", "Nd", "Nd", "Nd", "Nd", "Nd", "Tl"],
  "frac_coords": [[0.079, 0.079, 0.193], [0.180, 0.180, 0.900], [0.820, 0.820, 0.100], [0.921, 0.921, 0.807], [0.000, 0.000, 0.500], [0.285, 0.285, 0.630], [0.297, 0.297, 0.288], [0.427, 0.427, 0.087], [0.573, 0.573, 0.913], [0.703, 0.703, 0.712], [0.715, 0.715, 0.370], [0.500, 0.500, 0.500]]
}

***

{
  "formula": "Pm2Nd3Tl6",
  "functional": "PBE",
  "state": "relaxed",
  "crystal_system": "tetragonal",
  "formation_enthalpy_0k_mev_per_atom": 61,
  "energy_ev_per_atom": -3.394,
  "cell": [[-3.005, 3.005, 11.412], [3.005, -3.005, 11.412], [3.005, 3.005, -11.412]],
  "species": ["Pm", "Pm", "Nd", "Nd", "Nd", "Tl", "Tl", "Tl", "Tl", "Tl", "Tl"],
  "frac_coords": [[0.077, 0.077, 0.000], [0.923, 0.923, 0.000], [0.355, 0.355, 0.000], [0.500, 0.500, 0.000], [0.645, 0.645, 0.000], [0.071, 0.571, 0.500], [0.216, 0.216, 0.000], [0.429, 0.929, 0.500], [0.571, 0.071, 0.500], [0.784, 0.784, 0.000], [0.929, 0.429, 0.500]]
}

***

{
  "formula": "PmNd12Tl6",
  "functional": "PBE",
  "state": "relaxed",
  "crystal_system": "trigonal",
  "formation_enthalpy_0k_mev_per_atom": -4,
  "energy_ev_per_atom": -4.013,
  "cell": [[7.036, 4.062, 3.848], [-7.036, 4.062, 3.848], [0.000, -8.125, 3.848]],
  "species": ["Pm", "Nd", "Nd", "Nd", "Nd", "Nd", "Nd", "Nd", "Nd", "Nd", "Nd", "Nd", "Nd", "Tl", "Tl", "Tl", "Tl", "Tl", "Tl"],
  "frac_coords": [[0.000, 0.000, 0.000], [0.109, 0.500, 0.891], [0.109, 0.891, 0.500], [0.166, 0.428, 0.428], [0.428, 0.166, 0.428], [0.428, 0.428, 0.166], [0.500, 0.109, 0.891], [0.500, 0.891, 0.109], [0.572, 0.572, 0.834], [0.572, 0.834, 0.572], [0.834, 0.572, 0.572], [0.891, 0.109, 0.500], [0.891, 0.500, 0.109], [0.258, 0.258, 0.722], [0.258, 0.722, 0.258], [0.278, 0.742, 0.742], [0.722, 0.258, 0.258], [0.742, 0.278, 0.742], [0.742, 0.742, 0.278]]
}

***

{
  "formula": "PmNd2Tl3",
  "functional": "PBE",
  "state": "relaxed",
  "crystal_system": "tetragonal",
  "formation_enthalpy_0k_mev_per_atom": -392,
  "energy_ev_per_atom": -3.956,
  "cell": [[3.878, 0.000, 0.000], [0.000, 3.878, 0.000], [0.000, 0.000, 11.830]],
  "species": ["Pm", "Nd", "Nd", "Tl", "Tl", "Tl"],
  "frac_coords": [[0.000, 0.000, 0.000], [0.000, 0.000, 0.332], [0.000, 0.000, 0.668], [0.500, 0.500, 0.164], [0.500, 0.500, 0.500], [0.500, 0.500, 0.836]]
}

***

{
  "formula": "PmNd4Tl",
  "functional": "PBE",
  "state": "relaxed",
  "e_above_lowest_polymorph_mev_per_atom": 0,
  "crystal_system": "monoclinic",
  "formation_enthalpy_0k_mev_per_atom": -58,
  "energy_ev_per_atom": -4.422,
  "cell": [[6.663, 0.000, 0.000], [0.000, 6.872, 0.000], [-1.683, 0.000, 8.794]],
  "species": ["Pm", "Pm", "Nd", "Nd", "Nd", "Nd", "Nd", "Nd", "Nd", "Nd", "Tl", "Tl"],
  "frac_coords": [[0.195, 0.250, 0.493], [0.805, 0.750, 0.507], [0.082, 0.003, 0.824], [0.082, 0.497, 0.824], [0.321, 0.750, 0.562], [0.421, 0.750, 0.168], [0.579, 0.250, 0.832], [0.679, 0.250, 0.438], [0.918, 0.503, 0.176], [0.918, 0.997, 0.176], [0.349, 0.250, 0.130], [0.651, 0.750, 0.870]]
}

***

{
  "formula": "Pm12NdTl3",
  "functional": "PBE",
  "state": "relaxed",
  "crystal_system": "tetragonal",
  "formation_enthalpy_0k_mev_per_atom": -140,
  "energy_ev_per_atom": -4.445,
  "cell": [[4.975, 0.000, 0.000], [0.000, 4.975, 0.000], [0.000, 0.000, 20.416]],
  "species": ["Pm", "Pm", "Pm", "Pm", "Pm", "Pm", "Pm", "Pm", "Pm", "Pm", "Pm", "Pm", "Nd", "Tl", "Tl", "Tl"],
  "frac_coords": [[0.000, 0.000, 0.000], [0.000, 0.000, 0.244], [0.000, 0.000, 0.500], [0.000, 0.000, 0.756], [0.000, 0.500, 0.122], [0.000, 0.500, 0.368], [0.000, 0.500, 0.632], [0.000, 0.500, 0.878], [0.500, 0.000, 0.122], [0.500, 0.000, 0.368], [0.500, 0.000, 0.632], [0.500, 0.000, 0.878], [0.500, 0.500, 0.500], [0.500, 0.500, 0.000], [0.500, 0.500, 0.243], [0.500, 0.500, 0.757]]
}

***

{
  "formula": "Pm5NdTl4",
  "functional": "PBE",
  "state": "relaxed",
  "e_above_lowest_polymorph_mev_per_atom": 245,
  "crystal_system": "orthorhombic",
  "formation_enthalpy_0k_mev_per_atom": -53,
  "energy_ev_per_atom": -3.852,
  "cell": [[8.384, 0.000, 0.000], [0.000, 9.384, 0.000], [0.000, 0.000, 8.777]],
  "species": ["Pm", "Pm", "Pm", "Pm", "Pm", "Pm", "Pm", "Pm", "Pm", "Pm", "Nd", "Nd", "Tl", "Tl", "Tl", "Tl", "Tl", "Tl", "Tl", "Tl"],
  "frac_coords": [[0.010, 0.054, 0.231], [0.010, 0.446, 0.231], [0.250, 0.250, 0.582], [0.490, 0.054, 0.231], [0.490, 0.446, 0.231], [0.510, 0.554, 0.769], [0.510, 0.946, 0.769], [0.750, 0.750, 0.418], [0.990, 0.554, 0.769], [0.990, 0.946, 0.769], [0.250, 0.750, 0.172], [0.750, 0.250, 0.828], [0.082, 0.250, 0.939], [0.250, 0.587, 0.501], [0.250, 0.913, 0.501], [0.418, 0.250, 0.939], [0.582, 0.750, 0.061], [0.750, 0.087, 0.499], [0.750, 0.413, 0.499], [0.918, 0.750, 0.061]]
}

***

{
  "formula": "PmNd4Tl2",
  "functional": "PBE",
  "state": "relaxed",
  "e_above_lowest_polymorph_mev_per_atom": 170,
  "crystal_system": "trigonal",
  "formation_enthalpy_0k_mev_per_atom": 34,
  "energy_ev_per_atom": -4.045,
  "cell": [[2.809, 1.622, 9.121], [-2.809, 1.622, 9.121], [0.000, -3.244, 9.121]],
  "species": ["Pm", "Nd", "Nd", "Nd", "Nd", "Tl", "Tl"],
  "frac_coords": [[0.000, 0.000, 0.000], [0.232, 0.232, 0.232], [0.370, 0.370, 0.370], [0.630, 0.630, 0.630], [0.768, 0.768, 0.768], [0.115, 0.115, 0.115], [0.885, 0.885, 0.885]]
}

***

{
  "formula": "PmNd8Tl2",
  "functional": "PBE",
  "state": "relaxed",
  "e_above_lowest_polymorph_mev_per_atom": 0,
  "crystal_system": "monoclinic",
  "formation_enthalpy_0k_mev_per_atom": -106,
  "energy_ev_per_atom": -4.436,
  "cell": [[8.841, -2.633, 0.000], [8.841, 2.633, 0.000], [-3.051, 0.000, 7.859]],
  "species": ["Pm", "Nd", "Nd", "Nd", "Nd", "Nd", "Nd", "Nd", "Nd", "Tl", "Tl"],
  "frac_coords": [[0.000, 0.000, 0.000], [0.101, 0.101, 0.465], [0.186, 0.186, 0.949], [0.354, 0.354, 0.795], [0.448, 0.448, 0.262], [0.552, 0.552, 0.738], [0.646, 0.646, 0.205], [0.814, 0.814, 0.051], [0.899, 0.899, 0.535], [0.278, 0.278, 0.359], [0.722, 0.722, 0.641]]
}

***

{
  "formula": "PmNd12Tl7",
  "functional": "PBE",
  "state": "relaxed",
  "crystal_system": "trigonal",
  "formation_enthalpy_0k_mev_per_atom": -41,
  "energy_ev_per_atom": -3.967,
  "cell": [[7.006, 4.045, 4.053], [-7.006, 4.045, 4.053], [0.000, -8.090, 4.053]],
  "species": ["Pm", "Nd", "Nd", "Nd", "Nd", "Nd", "Nd", "Nd", "Nd", "Nd", "Nd", "Nd", "Nd", "Tl", "Tl", "Tl", "Tl", "Tl", "Tl", "Tl"],
  "frac_coords": [[0.000, 0.000, 0.000], [0.124, 0.379, 0.443], [0.180, 0.718, 0.316], [0.282, 0.684, 0.820], [0.316, 0.180, 0.718], [0.379, 0.443, 0.124], [0.443, 0.124, 0.379], [0.557, 0.876, 0.621], [0.621, 0.557, 0.876], [0.684, 0.820, 0.282], [0.718, 0.316, 0.180], [0.820, 0.282, 0.684], [0.876, 0.621, 0.557], [0.019, 0.356, 0.049], [0.049, 0.019, 0.356], [0.356, 0.049, 0.019], [0.500, 0.500, 0.500], [0.644, 0.951, 0.981], [0.951, 0.981, 0.644], [0.981, 0.644, 0.951]]
}

***

{
  "formula": "Pm2NdTl",
  "functional": "PBE",
  "state": "relaxed",
  "e_above_lowest_polymorph_mev_per_atom": 32,
  "crystal_system": "tetragonal",
  "formation_enthalpy_0k_mev_per_atom": -171,
  "energy_ev_per_atom": -4.330,
  "cell": [[3.698, 0.000, 0.000], [0.000, 3.698, 0.000], [0.000, 0.000, 9.414]],
  "species": ["Pm", "Pm", "Nd", "Tl"],
  "frac_coords": [[0.000, 0.000, 0.225], [0.000, 0.000, 0.775], [0.500, 0.500, 0.500], [0.500, 0.500, 0.000]]
}